Here is crystalline La6MgCd5 at its relaxed geometry from Alexandria via LeMat-Bulk. Energies are from PBE.

Calculated values
For the density of states at the Fermi level, the calculation gives 32.233 states/eV per cell. The formation energy comes out at -0.29 eV/atom.

```
data_La6MgCd5
_space_group_name_H-M_alt 'C 1 2/m 1'
_space_group_IT_number 12
_space_group_name_Hall '-C 2y'
_cell_length_a 17.6042
_cell_length_b 7.8867
_cell_length_c 5.5615
_cell_angle_alpha 90.00
_cell_angle_beta 108.32
_cell_angle_gamma 90.00
loop_
_atom_site_label
_atom_site_type_symbol
_atom_site_fract_x
_atom_site_fract_y
_atom_site_fract_z
_atom_site_occupancy
La1 La 0.0000 0.2464 0.0000 1
La2 La 0.1680 0.2484 0.6681 1
Mg1 Mg 0.0000 0.5000 0.5000 1
Cd1 Cd 0.0000 0.0000 0.5000 1
Cd2 Cd 0.1608 0.5000 0.1613 1
Cd3 Cd 0.1659 0.0000 0.1659 1
```